{"formula": "CeScTaO6", "functional": "GGA-PBE", "state": "relaxed", "cell": [[5.3568, 0.0000, 0.0000], [-2.6784, 4.6391, 0.0000], [0.0000, 0.0000, 9.7142]], "species": ["Ce", "Ce", "Sc", "Sc", "Ta", "Ta", "O", "O", "O", "O", "O", "O", "O", "O", "O", "O", "O", "O"], "fractional_positions": [[0.0000, 0.0000, 0.0000], [0.0000, 0.0000, 0.5000], [0.3333, 0.6667, 0.2500], [0.6667, 0.3333, 0.7500], [0.3333, 0.6667, 0.7500], [0.6667, 0.3333, 0.2500], [0.0161, 0.3578, 0.6368], [0.0161, 0.6583, 0.8632], [0.3417, 0.3578, 0.8632], [0.3417, 0.9839, 0.6368], [0.3578, 0.0161, 0.1368], [0.3578, 0.3417, 0.3632], [0.6422, 0.6583, 0.6368], [0.6422, 0.9839, 0.8632], [0.6583, 0.0161, 0.3632], [0.6583, 0.6422, 0.1368], [0.9839, 0.3417, 0.1368], [0.9839, 0.6422, 0.3632]], "volume_a3_per_cell": 241.4}

=====

{"formula": "CeScTe2O", "functional": "GGA-PBE", "state": "relaxed", "cell": [[4.0926, 0.0000, 0.0000], [0.0000, 4.0926, 0.0000], [0.0000, 0.0000, 14.5541]], "species": ["Ce", "Ce", "Sc", "Sc", "Te", "Te", "Te", "Te", "O", "O"], "fractional_positions": [[0.2500, 0.2500, 0.0818], [0.7500, 0.7500, 0.9182], [0.2500, 0.2500, 0.5973], [0.7500, 0.7500, 0.4027], [0.2500, 0.2500, 0.3929], [0.2500, 0.2500, 0.7981], [0.7500, 0.7500, 0.2019], [0.7500, 0.7500, 0.6071], [0.2500, 0.7500, 0.0000], [0.7500, 0.2500, 0.0000]], "dos_ef_per_ev_fu": 7.2, "volume_a3_per_cell": 243.8}

=====

{"formula": "Ce2ScTe2O2", "functional": "GGA-PBE", "state": "relaxed", "cell": [[-2.1201, 2.1201, 8.3279], [2.1201, -2.1201, 8.3279], [2.1201, 2.1201, -8.3279]], "species": ["Ce", "Ce", "Sc", "Te", "Te", "O", "O"], "fractional_positions": [[0.1031, 0.1031, 0.0000], [0.8969, 0.8969, 0.0000], [0.5000, 0.5000, 0.0000], [0.3212, 0.3212, 0.0000], [0.6788, 0.6788, 0.0000], [0.0000, 0.5000, 0.5000], [0.5000, 0.0000, 0.5000]], "dos_ef_per_ev_fu": 10.5, "volume_a3_per_cell": 149.7}

=====

{"formula": "CeSc2UO8", "functional": "GGA-PBE", "state": "relaxed", "cell": [[3.4455, -3.4559, 0.0000], [3.4455, 3.4559, 0.0000], [0.0000, 0.0000, 6.9617]], "species": ["Ce", "Sc", "Sc", "U", "O", "O", "O", "O", "O", "O", "O", "O"], "fractional_positions": [[0.0000, 0.0000, 0.0000], [0.5000, 0.5000, 0.2432], [0.5000, 0.5000, 0.7568], [0.0000, 0.0000, 0.5000], [0.1945, 0.8055, 0.2667], [0.1945, 0.8055, 0.7333], [0.2991, 0.2991, 0.5000], [0.3153, 0.3153, 0.0000], [0.6847, 0.6847, 0.0000], [0.7009, 0.7009, 0.5000], [0.8055, 0.1945, 0.2667], [0.8055, 0.1945, 0.7333]], "dos_ef_per_ev_fu": 0.0, "volume_a3_per_cell": 165.8}

=====

{"formula": "CeSe2O6", "functional": "GGA-PBE", "state": "relaxed", "cell": [[2.7297, 1.5760, 6.6184], [-2.7297, 1.5760, 6.6184], [0.0000, -3.1520, 6.6184]], "species": ["Ce", "Se", "Se", "O", "O", "O", "O", "O", "O"], "fractional_positions": [[0.0000, 0.0000, 0.0000], [0.5592, 0.5592, 0.5592], [0.7727, 0.7727, 0.7727], [0.2877, 0.6490, 0.8522], [0.4297, 0.9963, 0.7803], [0.6490, 0.8522, 0.2877], [0.7803, 0.4297, 0.9963], [0.8522, 0.2877, 0.6490], [0.9963, 0.7803, 0.4297]], "volume_a3_per_cell": 170.8, "polymorph_energy_ev_per_atom": 0.027}

=====

{"formula": "Ce3Se2O2", "functional": "GGA-PBE", "state": "relaxed", "cell": [[5.8508, -1.8539, 0.0000], [5.8508, 1.8539, 0.0000], [-1.2101, 0.0000, 7.2199]], "species": ["Ce", "Ce", "Ce", "Se", "Se", "O", "O"], "fractional_positions": [[0.0000, 0.0000, 0.0000], [0.2238, 0.2238, 0.7732], [0.7762, 0.7762, 0.2268], [0.1171, 0.1171, 0.3729], [0.8829, 0.8829, 0.6271], [0.3642, 0.3642, 0.0557], [0.6358, 0.6358, 0.9443]], "dos_ef_per_ev_fu": 13.5, "volume_a3_per_cell": 156.6}

=====

{"formula": "CeSe2O6", "functional": "GGA-PBE", "state": "relaxed", "cell": [[7.1545, 0.0000, 0.0000], [0.0000, 10.9164, 0.0000], [-5.1900, 0.0000, 7.1453]], "species": ["Ce", "Ce", "Ce", "Ce", "Se", "Se", "Se", "Se", "Se", "Se", "Se", "Se", "O", "O", "O", "O", "O", "O", "O", "O", "O", "O", "O", "O", "O", "O", "O", "O", "O", "O", "O", "O", "O", "O", "O", "O"], "fractional_positions": [[0.2494, 0.0952, 0.4911], [0.2494, 0.4048, 0.9911], [0.7506, 0.5952, 0.0089], [0.7506, 0.9048, 0.5089], [0.1839, 0.7144, 0.9229], [0.1839, 0.7856, 0.4229], [0.2800, 0.0776, 0.0750], [0.2800, 0.4224, 0.5750], [0.7200, 0.5776, 0.4250], [0.7200, 0.9224, 0.9250], [0.8161, 0.2144, 0.5771], [0.8161, 0.2856, 0.0771], [0.0024, 0.5985, 0.9078], [0.0024, 0.9015, 0.4078], [0.0469, 0.7455, 0.1932], [0.0469, 0.7545, 0.6932], [0.1481, 0.0863, 0.1887], [0.1481, 0.4137, 0.6887], [0.3880, 0.6070, 0.9579], [0.3880, 0.8930, 0.4579], [0.4094, 0.2210, 0.1305], [0.4094, 0.2790, 0.6305], [0.4807, 0.0155, 0.7842], [0.4807, 0.4845, 0.2842], [0.5193, 0.5155, 0.7158], [0.5193, 0.9845, 0.2158], [0.5906, 0.7210, 0.3695], [0.5906, 0.7790, 0.8695], [0.6120, 0.1070, 0.5421], [0.6120, 0.3930, 0.0421], [0.8519, 0.5863, 0.3113], [0.8519, 0.9137, 0.8113], [0.9531, 0.2455, 0.3068], [0.9531, 0.2545, 0.8068], [0.9976, 0.0985, 0.5922], [0.9976, 0.4015, 0.0922]], "volume_a3_per_cell": 558.1, "polymorph_energy_ev_per_atom": 0.000}

=====

{"formula": "Ce5Se5O2", "functional": "GGA-PBE", "state": "relaxed", "cell": [[6.6292, -2.0031, 0.0000], [6.6292, 2.0031, 0.0000], [-3.0010, 0.0000, 10.7429]], "species": ["Ce", "Ce", "Ce", "Ce", "Ce", "Se", "Se", "Se", "Se", "Se", "O", "O"], "fractional_positions": [[0.0000, 0.0000, 0.0000], [0.0994, 0.0994, 0.3750], [0.3446, 0.3446, 0.2075], [0.6554, 0.6554, 0.7925], [0.9006, 0.9006, 0.6250], [0.2401, 0.2401, 0.6356], [0.3356, 0.3356, 0.9333], [0.5000, 0.5000, 0.5000], [0.6644, 0.6644, 0.0667], [0.7599, 0.7599, 0.3644], [0.0430, 0.0430, 0.7986], [0.9570, 0.9570, 0.2014]], "dos_ef_per_ev_fu": 28.6, "volume_a3_per_cell": 285.3}

=====

Calculated energy relative to the elements, uncorrected, -3.207 -2.010 -2.263 -3.325 -1.646 -2.311 -1.673 -2.196 eV per atom (same order as the records).
Calculated E_tot, -9.193 -6.711 -7.177 -9.121 -6.385 -7.266 -6.412 -6.947 eV per atom (same order as the records).
Calculated magnetic moment, 0.00 0.61 2.95 0.00 0.00 3.42 0.00 5.40 μB/f.u. (same order as the records).